A geometry-optimized CaZr2Tl structure. Source: Alexandria, functional PBE.

Cell lengths 6.5608, 6.5608, 5.2557 Å; angles 113.39, 113.39, 30.14 degrees
Last column: nearest neighbours and their distance in Å.
Positions (direct):
Ca: 0.0000 0.0000 0.0000  4 Tl 3.13, 2 Ca 3.41
Zr: 0.2239 0.2239 0.7238  2 Tl 3.10, 6 Zr 3.19-3.41
Zr: 0.7761 0.7761 0.2762  2 Tl 3.10, 6 Zr 3.19-3.41
Tl: 0.5000 0.5000 0.5000  4 Zr 3.10, 4 Ca 3.13, 2 Tl 3.41

ΔE to the lowest computed polymorph = 87 meV/atom
Density = 6.85 g/cm3
DOS(E_F) = 3.32 states/eV/cell
Calculated formation energy = 0.05 eV/atom

A geometry-optimized CePm12Ho3 structure. Source: Alexandria, functional PBE.

Cell lengths 5.1208, 5.1208, 20.4700 Å; angles 90.00, 90.00, 90.00 degrees
Last column: nearest neighbours and their distance in Å.
Positions (direct):
Ce: 0.0000 0.0000 0.0000  12 Pm 3.61-3.62
Pm: 0.0000 0.5000 0.1244  2 Ce 3.61, 8 Pm 3.61-3.65, 2 Ho 3.63
Pm: 0.0000 0.5000 0.3748  8 Pm 3.59-3.62, 4 Ho 3.62
Pm: 0.0000 0.5000 0.6252  8 Pm 3.59-3.62, 4 Ho 3.62
Pm: 0.0000 0.5000 0.8756  2 Ce 3.61, 8 Pm 3.61-3.65, 2 Ho 3.63
Pm: 0.5000 0.0000 0.1244  2 Ce 3.61, 8 Pm 3.61-3.65, 2 Ho 3.63
Pm: 0.5000 0.0000 0.3748  8 Pm 3.59-3.62, 4 Ho 3.62
Pm: 0.5000 0.0000 0.6252  8 Pm 3.59-3.62, 4 Ho 3.62
Pm: 0.5000 0.0000 0.8756  2 Ce 3.61, 8 Pm 3.61-3.65, 2 Ho 3.63
Pm: 0.5000 0.5000 0.0000  8 Pm 3.61, 4 Ce 3.62
Pm: 0.5000 0.5000 0.2516  8 Pm 3.59-3.65, 4 Ho 3.62
Pm: 0.5000 0.5000 0.5000  4 Ho 3.62, 8 Pm 3.62
Pm: 0.5000 0.5000 0.7484  8 Pm 3.59-3.65, 4 Ho 3.62
Ho: 0.0000 0.0000 0.2499  12 Pm 3.62-3.63
Ho: 0.0000 0.0000 0.5000  12 Pm 3.62
Ho: 0.0000 0.0000 0.7501  12 Pm 3.62-3.63

Density = 7.35 g/cm3
DOS(E_F) = 26.83 states/eV/cell
Calculated formation energy = 0.03 eV/atom

A geometry-optimized ZrTc3Br structure. Source: Alexandria, functional PBE.

Cell lengths 4.5428, 4.5428, 4.5428 Å; angles 90.00, 90.00, 90.00 degrees
Last column: nearest neighbours and their distance in Å.
Positions (direct):
Zr: 0.0000 0.0000 0.0000  12 Tc 3.21
Tc: 0.0000 0.5000 0.5000  2 Br 2.27
Tc: 0.5000 0.0000 0.5000  2 Br 2.27
Tc: 0.5000 0.5000 0.0000  2 Br 2.27
Br: 0.5000 0.5000 0.5000  6 Tc 2.27

ΔE to the lowest computed polymorph = 0 meV/atom
Density = 8.24 g/cm3
DOS(E_F) = 4.58 states/eV/cell
Uncorrected formation energy = 1.122 eV/atom

A geometry-optimized ThMgHg2 structure. Source: Alexandria, functional PBE.

Cell lengths 3.5193, 3.5193, 9.8438 Å; angles 100.22, 100.22, 59.97 degrees
Last column: nearest neighbours and their distance in Å.
Positions (direct):
Th: 0.0000 0.0000 0.0000  6 Hg 3.33-3.34, 6 Th 3.52
Mg: 0.8338 0.8338 0.5007  6 Hg 2.97-2.98
Hg: 0.2428 0.2428 0.7258  3 Mg 2.97-2.98
Hg: 0.4247 0.4247 0.2754  3 Mg 2.97-2.98

Density = 10.57 g/cm3
DOS(E_F) = 3.61 states/eV/cell
Calculated formation energy = -0.13 eV/atom

A geometry-optimized BeNbH structure. Source: Alexandria, functional PBE.

Cell lengths 3.4273, 5.0151, 5.0151 Å; angles 42.39, 90.00, 90.00 degrees
Last column: nearest neighbours and their distance in Å.
Positions (direct):
Be: 0.0000 0.0000 0.0000  2 H 1.51
Be: 0.5000 0.1313 0.1313  2 Be 2.11
Nb: 0.0000 0.6999 0.6999  2 H 1.90
Nb: 0.5000 0.4162 0.4162  4 H 1.95
H: 0.0000 0.1390 0.6110  1 Be 1.51
H: 0.0000 0.6110 0.1390  1 Be 1.51

ΔE to the lowest computed polymorph = 127 meV/atom
Density = 5.88 g/cm3
DOS(E_F) = 0.14 states/eV/cell

A geometry-optimized ZrNb3In structure. Source: Alexandria, functional PBE.

Cell lengths 4.9350, 4.9350, 4.9350 Å; angles 90.00, 90.00, 90.00 degrees
Last column: nearest neighbours and their distance in Å.
Positions (direct):
Zr: 0.0000 0.0000 0.0000  6 Nb 2.47
Nb: 0.0000 0.0000 0.5000  2 Zr 2.47
Nb: 0.0000 0.5000 0.0000  2 Zr 2.47
Nb: 0.5000 0.0000 0.0000  2 Zr 2.47
In: 0.5000 0.5000 0.5000  12 Nb 3.49

ΔE to the lowest computed polymorph = 0 meV/atom
Density = 6.70 g/cm3
DOS(E_F) = 6.44 states/eV/cell
Calculated formation energy = 1.42 eV/atom

A geometry-optimized Y2AsIr structure. Source: Alexandria, functional PBE.

Cell lengths 6.2019, 6.2019, 6.2019 Å; angles 145.14, 139.54, 54.46 degrees
Last column: nearest neighbours and their distance in Å.
Positions (direct):
Y: 0.0000 0.0000 0.0000  4 Ir 2.85, 2 As 3.08
Y: 0.7303 0.2303 0.5000  4 As 2.94
As: 0.2999 0.7999 0.5000  2 Ir 2.73, 4 Y 2.94
Ir: 0.4808 0.4808 0.0000  2 As 2.73, 4 Y 2.85

Density = 8.41 g/cm3
DOS(E_F) = 1.95 states/eV/cell
Calculated formation energy = -0.84 eV/atom

A geometry-optimized ZrTl3Fe structure. Source: Alexandria, functional PBE.

Cell lengths 5.6397, 5.6397, 5.6397 Å; angles 90.00, 90.00, 90.00 degrees
Last column: nearest neighbours and their distance in Å.
Positions (direct):
Zr: 0.0000 0.0000 0.0000  6 Tl 2.82
Tl: 0.0000 0.0000 0.5000  2 Zr 2.82
Tl: 0.0000 0.5000 0.0000  2 Zr 2.82
Tl: 0.5000 0.0000 0.0000  2 Zr 2.82
Fe: 0.5000 0.5000 0.5000  12 Tl 3.99

ΔE to the lowest computed polymorph = 427 meV/atom
Density = 7.04 g/cm3
DOS(E_F) = 9.97 states/eV/cell
Calculated formation energy = 1.19 eV/atom

A geometry-optimized CaPrNd5 structure. Source: Alexandria, functional PBE.

Cell lengths 5.8834, 5.8834, 7.7278 Å; angles 90.00, 90.00, 90.00 degrees
Last column: nearest neighbours and their distance in Å.
Positions (direct):
Ca: 0.0000 0.0000 0.0000  8 Nd 3.64
Pr: 0.5000 0.5000 0.5000  8 Nd 3.41
Nd: 0.0000 0.5000 0.2777  2 Pr 3.41, 3 Nd 3.44-3.64, 2 Ca 3.64
Nd: 0.0000 0.5000 0.7223  2 Pr 3.41, 3 Nd 3.44-3.64, 2 Ca 3.64
Nd: 0.5000 0.0000 0.2777  2 Pr 3.41, 3 Nd 3.44-3.64, 2 Ca 3.64
Nd: 0.5000 0.0000 0.7223  2 Pr 3.41, 3 Nd 3.44-3.64, 2 Ca 3.64
Nd: 0.5000 0.5000 0.0000  8 Nd 3.64, 2 Pr 3.86

Density = 5.60 g/cm3
DOS(E_F) = 10.28 states/eV/cell
Calculated formation energy = 0.28 eV/atom